[1]
LiTlAs2: relaxed, PBEsol.

abc: 4.887 4.887 4.887
angles: 60.00 60.00 60.00
Fractional coordinates of all 4 atoms:
1 Tl 0.500 0.500 0.500
2 As 0.250 0.250 0.250
3 As 0.750 0.750 0.750
4 Li 0.000 0.000 0.000

Results
ΔE_f in meV per atom: 134.1
DOS(E_F) in states/eV/atom: 0.680


[2]
Al2C: relaxed, PBEsol.

abc: 3.113 3.113 9.343
angles: 90.00 90.00 120.00
Fractional coordinates of all 6 atoms:
1 C 0.000 0.000 0.500
2 C 0.000 0.000 0.000
3 Al 0.333 0.667 0.390
4 Al 0.667 0.333 0.890
5 Al 0.667 0.333 0.610
6 Al 0.333 0.667 0.110

Results
ΔE_f in meV per atom: -10.7
DOS(E_F) in states/eV/atom: 0.066


[3]
NiH4C2S4N2: relaxed, PBEsol.

abc: 7.009 8.282 12.746
angles: 90.00 90.00 90.35
Fractional coordinates of all 52 atoms:
1 C 0.697 0.193 0.525
2 C 0.900 0.757 0.239
3 C 0.100 0.243 0.761
4 C 0.600 0.743 0.739
5 C 0.303 0.807 0.475
6 C 0.197 0.693 0.975
7 C 0.803 0.307 0.025
8 C 0.400 0.257 0.261
9 H 0.188 0.447 0.987
10 H 0.026 0.617 0.352
11 H 0.814 0.044 0.412
12 H 0.626 0.986 0.763
13 H 0.688 0.947 0.513
14 H 0.126 0.486 0.737
15 H 0.526 0.117 0.148
16 H 0.686 0.456 0.912
17 H 0.314 0.544 0.088
18 H 0.874 0.514 0.263
19 H 0.186 0.956 0.588
20 H 0.974 0.383 0.648
21 H 0.374 0.014 0.237
22 H 0.812 0.553 0.013
23 H 0.474 0.883 0.852
24 H 0.312 0.053 0.487
25 S 0.994 0.943 0.270
26 S 0.217 0.622 0.512
27 S 0.239 0.221 0.871
28 S 0.494 0.443 0.230
29 S 0.441 0.781 0.366
30 S 0.761 0.779 0.129
31 S 0.261 0.279 0.371
32 S 0.559 0.219 0.634
33 S 0.739 0.721 0.629
34 S 0.717 0.122 0.988
35 S 0.506 0.557 0.770
36 S 0.006 0.057 0.730
37 S 0.783 0.378 0.488
38 S 0.059 0.719 0.866
39 S 0.283 0.878 0.012
40 S 0.941 0.281 0.134
41 N 0.069 0.379 0.711
42 N 0.231 0.554 0.021
43 N 0.769 0.446 0.979
44 N 0.731 0.054 0.479
45 N 0.431 0.121 0.211
46 N 0.269 0.946 0.521
47 N 0.931 0.621 0.289
48 N 0.569 0.879 0.789
49 Ni 0.641 0.471 0.627
50 Ni 0.141 0.971 0.873
51 Ni 0.859 0.029 0.127
52 Ni 0.359 0.529 0.373

Results
Total energy in eV per atom: -5.792


[4]
CaMgTc: relaxed, PBEsol.

abc: 3.289 3.289 6.405
angles: 104.87 104.87 90.00
Site moments in Bohr magnetons follow the coordinates.
Fractional coordinates of all 3 atoms:
1 Mg 0.699 0.699 0.398  0.00
2 Tc 0.320 0.320 0.640  1.42
3 Ca 0.981 0.981 0.962  0.01

Results
ΔE_f in meV per atom: 549.8
DOS(E_F) in states/eV/atom: 0.980
ΔE to the lowest computed polymorph in meV per atom: 0


[5]
Ti2Fe: relaxed, PBEsol.

abc: 7.823 7.823 7.823
angles: 60.00 60.00 60.00
Fractional coordinates of all 24 atoms:
1 Ti 0.938 0.938 0.562
2 Ti 0.688 0.312 0.312
3 Ti 0.938 0.562 0.562
4 Ti 0.312 0.688 0.312
5 Ti 0.562 0.562 0.938
6 Ti 0.125 0.625 0.125
7 Ti 0.125 0.125 0.125
8 Ti 0.625 0.125 0.125
9 Ti 0.688 0.312 0.688
10 Ti 0.938 0.562 0.938
11 Ti 0.312 0.312 0.688
12 Ti 0.562 0.938 0.938
13 Ti 0.688 0.688 0.312
14 Ti 0.562 0.938 0.562
15 Ti 0.125 0.125 0.625
16 Ti 0.312 0.688 0.688
17 Fe 0.338 0.987 0.338
18 Fe 0.912 0.263 0.912
19 Fe 0.912 0.912 0.263
20 Fe 0.987 0.338 0.338
21 Fe 0.338 0.338 0.338
22 Fe 0.263 0.912 0.912
23 Fe 0.338 0.338 0.987
24 Fe 0.912 0.912 0.912

Results
ΔE_f in meV per atom: -233.2
DOS(E_F) in states/eV/atom: 1.009


[6]
HfNi3: relaxed, PBEsol.

abc: 4.229 5.194 5.194
angles: 120.00 90.00 90.00
Fractional coordinates of all 8 atoms:
1 Ni 0.250 0.157 0.314
2 Ni 0.750 0.843 0.157
3 Ni 0.250 0.686 0.843
4 Ni 0.750 0.843 0.686
5 Ni 0.750 0.314 0.157
6 Ni 0.250 0.157 0.843
7 Hf 0.750 0.333 0.667
8 Hf 0.250 0.667 0.333

Results
ΔE_f in meV per atom: -552.4
DOS(E_F) in states/eV/atom: 0.196